Material: MnBe3Ag
Method: DFT, PBE-GGA
State: optimized geometry

The density of states at the Fermi level comes out at 1.903 states/eV/f.u. For the density, the calculation gives 4.113 g/cm³. The energy is -0.268 Ry per atom. The value obtained for the calculated volume is 76.7 Å³/f.u. The calculation puts the formation enthalpy at 0 K at 0.988 eV per atom. As for the polymorph energy (0 for the lowest one): 29.5 meV/atom.

It has space group Pm-3m (No. 221), with a = 4.248 Å, b = 4.248 Å, c = 4.248 Å, α = 90.00°, β = 90.00° and γ = 90.00°. The distinct sites, in fractional coordinates, are Mn at (0.000, 0.000, 0.000), Be at (0.000, 0.500, 0.500) and Ag at (0.500, 0.500, 0.500).